# 1
{
  "formula": "NpSnRh4",
  "functional": "GGA-PBE",
  "state": "optimized geometry",
  "cell": [[5.279, 0.000, 0.000], [2.640, 4.572, 0.000], [2.640, 1.524, 4.310]],
  "species": ["Np", "Rh", "Rh", "Rh", "Rh", "Sn"],
  "fractional_positions": [[0.250, 0.250, 0.250], [0.626, 0.626, 0.123], [0.626, 0.123, 0.626], [0.626, 0.626, 0.626], [0.123, 0.626, 0.626], [0.000, 0.000, 0.000]],
  "crystal_system": "cubic"
}

---

# 2
{
  "formula": "NaSb2S4",
  "functional": "GGA-PBE",
  "state": "optimized geometry",
  "cell": [[-0.769, 2.517, -2.867], [-5.495, -3.633, 0.926], [-4.385, 8.934, 9.018]],
  "species": ["Na", "Na", "Sb", "Sb", "Sb", "Sb", "S", "S", "S", "S", "S", "S", "S", "S"],
  "fractional_positions": [[0.599, 0.199, 0.750], [0.401, 0.801, 0.250], [0.135, 0.270, 0.427], [0.865, 0.730, 0.927], [0.135, 0.270, 0.073], [0.865, 0.730, 0.573], [0.770, 0.539, 0.114], [0.770, 0.539, 0.386], [0.230, 0.461, 0.886], [0.230, 0.461, 0.614], [0.941, 0.882, 0.750], [0.059, 0.118, 0.250], [0.500, 0.000, 0.000], [0.500, 0.000, 0.500]],
  "crystal_system": "orthorhombic"
}

---

# 3
{
  "formula": "BeFeP",
  "functional": "GGA-PBE",
  "state": "optimized geometry",
  "cell": [[3.622, 0.000, 0.000], [1.811, 3.137, 0.000], [1.811, 1.046, 2.957]],
  "species": ["P", "Fe", "Be"],
  "fractional_positions": [[0.750, 0.750, 0.750], [0.500, 0.500, 0.500], [0.000, 0.000, 0.000]],
  "crystal_system": "cubic"
}

---

Total moment across the listed records, respectively: 0.457, 0.000, 0.071 μB per atom.
Relative energy among the computed polymorphs across the listed records, respectively: 10.3, 0.0, 195.7 meV/atom.
DOS(E_F) across the listed records, respectively: 8.89, 2.91, 2.62 states/eV/f.u..